Below is a geometry-optimized KCrGa2P structure, with properties calculated at the GGA-PBE level.

abc: 5.4313 5.4499 5.4313
angles: 90.00 90.00 90.00
Last column: magnetic moment on the atom in μB.
Atoms (fractional coordinates):
K 0.0000 0.0000 0.0000  -0.01
Ga 0.5000 0.0000 0.0000  0.02
P 0.0000 0.5000 0.0000  -0.16
Ga 0.0000 0.0000 0.5000  0.01
Cr 0.5000 0.5000 0.5000  4.22

Calculated values
Space-group type = P4/mmm (123)
Uncorrected energy = -14.61 eV per formula unit
DFT formation energy = 1.51 eV per atom